1.
# Nd2MgTl8

Nd2MgTl8 after structural relaxation (PBE, Alexandria).

Unit cell a=5.042 b=5.042 c=12.315 alpha=90.00 beta=90.00 gamma=90.00
Element x y z (fractional)
Nd1 0.000 0.000 0.188
Nd2 0.000 0.000 0.812
Mg1 0.000 0.000 0.500
Tl1 0.000 0.500 0.000
Tl2 0.000 0.500 0.367
Tl3 0.000 0.500 0.633
Tl4 0.500 0.000 0.000
Tl5 0.500 0.000 0.367
Tl6 0.500 0.000 0.633
Tl7 0.500 0.500 0.186
Tl8 0.500 0.500 0.814

- ρ: 10.33 g cm⁻³
- Space group: P4/mmm, No. 123
- Uncorrected energy: -2.9401 eV/atom

2.
# NdMg4Tl

NdMg4Tl after structural relaxation (PBE, Alexandria).

Unit cell a=6.075 b=6.075 c=6.075 alpha=60.00 beta=60.00 gamma=60.00
Element x y z (fractional)
Nd1 0.000 0.000 0.000
Mg1 0.375 0.375 0.375
Mg2 0.375 0.375 0.875
Mg3 0.375 0.875 0.375
Mg4 0.875 0.375 0.375
Tl1 0.750 0.750 0.750

- ρ: 4.67 g cm⁻³
- Space group: F-43m, No. 216
- Uncorrected energy: -2.2650 eV/atom

3.
# Nd8MgTl5

Nd8MgTl5 after structural relaxation (PBE, Alexandria).

Unit cell a=8.352 b=8.352 c=8.352 alpha=109.48 beta=109.48 gamma=109.45
Element x y z (fractional)
Nd1 0.035 0.132 0.761
Nd2 0.241 0.479 0.601
Nd3 0.360 0.759 0.238
Nd4 0.371 0.274 0.239
Nd5 0.521 0.121 0.762
Nd6 0.726 0.965 0.097
Nd7 0.868 0.629 0.903
Nd8 0.879 0.640 0.399
Mg1 0.750 0.250 0.500
Tl1 0.136 0.011 0.381
Tl2 0.245 0.864 0.875
Tl3 0.500 0.500 0.000
Tl4 0.630 0.755 0.619
Tl5 0.989 0.370 0.125

- ρ: 8.15 g cm⁻³
- Space group: I-4, No. 82
- Uncorrected energy: -3.8968 eV/atom

4.
# NdMg4Tl2

NdMg4Tl2 after structural relaxation (PBE, Alexandria).

Unit cell a=8.731 b=8.731 c=4.651 alpha=90.00 beta=90.00 gamma=90.00
Element x y z (fractional)
Nd1 0.000 0.000 0.000
Nd2 0.500 0.500 0.500
Mg1 0.097 0.345 0.500
Mg2 0.155 0.597 0.000
Mg3 0.345 0.097 0.500
Mg4 0.403 0.845 0.000
Mg5 0.597 0.155 0.000
Mg6 0.655 0.903 0.500
Mg7 0.845 0.403 0.000
Mg8 0.903 0.655 0.500
Tl1 0.203 0.797 0.500
Tl2 0.297 0.297 0.000
Tl3 0.703 0.703 0.000
Tl4 0.797 0.203 0.500

- ρ: 6.09 g cm⁻³
- Space group: P4_2/mnm, No. 136
- Uncorrected energy: -2.4202 eV/atom

Looking at spin magnetization for the records above, in order, we have 0.000 0.000 0.000 0.000 μB per atom.
Looking at formation energy from the elements for the records above, in order, we have -0.21 -0.01 -0.21 -0.15 eV/atom.